# 1
Material: SrNiIr2
Method: DFT, PBE
State: optimized geometry

```
SrNiIr2
1.0
-1.1086 -4.9368 2.7926
-0.3836 -4.9716 -2.9216
3.0066 4.5910 1.8118
Ir Ni Sr
2 1 1
direct
0.0343 0.0343 0.0000
0.2538 0.7538 0.5000
0.4656 0.4656 0.0000
0.7463 0.2463 0.5000
```

Results
Its crystal system is orthorhombic. As for the space-group type: Imm2, No. 44. For the energy above the most stable polymorph in this dataset, the calculation gives 0.235 eV per atom. The density of states at the Fermi level is 5.3 states/eV/f.u. The value obtained for the energy of formation is 433 meV per atom.


# 2
Material: La6TbCd5
Method: DFT, PBE
State: optimized geometry

```
La6TbCd5
1.0
0.3108 -5.2861 -1.7814
-0.4867 -2.5275 7.4151
-8.6216 2.3685 0.2414
Cd Tb La
5 1 6
direct
0.6646 0.5000 0.3334
0.3463 0.0000 0.6898
0.0000 0.5000 0.0000
0.6537 0.0000 0.3102
0.3354 0.5000 0.6666
0.0000 0.0000 0.0000
0.8293 0.7502 0.6562
0.8293 0.2498 0.6562
0.5000 0.2668 0.0000
0.5000 0.7332 0.0000
0.1707 0.7502 0.3438
0.1707 0.2498 0.3438
```

Results
Its crystal system is monoclinic. As for the space-group type: P2/m, No. 10. The density of states at the Fermi level is 16.6 states/eV/f.u. The value obtained for the energy of formation is -240 meV per atom.


Look up the energy of formation of the first one. 433 meV per atom